(1)
SmTl3Pd7 PBE optimized geometry; theoretical density = 11.203 Mg/m³; M_tot = 0.00 Bohr magnetons per cell; DOS at the Fermi energy = 5.100 states/eV/cell; electronic total energy = -0.3382 Ry/atom
1.0
4.319 -4.922 0.000
4.319 4.922 0.000
-2.145 0.000 5.258
Sm Tl Pd
1 3 7
Cartesian
0.000 0.000 0.000
3.246 2.241 2.629
4.319 0.000 0.000
3.246 -2.241 2.629
-1.073 0.000 2.629
1.038 2.334 4.323
1.637 0.000 2.394
5.455 2.334 0.935
1.038 -2.334 4.323
4.856 0.000 2.864
5.455 -2.334 0.935



(2)
Sm2TlZn2Pd5 PBE optimized geometry; theoretical density = 10.293 Mg/m³; M_tot = 0.00 Bohr magnetons per cell; DOS at the Fermi energy = 9.866 states/eV/cell; electronic total energy = -0.3417 Ry/atom
1.0
9.861 0.000 0.000
0.000 9.861 0.000
0.000 0.000 3.876
Sm Tl Zn Pd
4 2 4 10
Cartesian
1.756 3.174 0.000
3.174 8.104 0.000
6.687 1.756 0.000
8.104 6.687 0.000
0.000 0.000 0.000
4.930 4.930 0.000
1.161 6.091 0.000
3.769 1.161 0.000
6.091 8.700 0.000
8.700 3.769 0.000
0.000 4.930 1.938
0.668 7.765 1.938
2.096 0.668 1.938
2.835 5.598 1.938
4.262 2.835 1.938
4.930 0.000 1.938
5.598 7.026 1.938
7.026 4.262 1.938
7.765 9.192 1.938
9.192 2.096 1.938



(3)
SmTm2Pd PBE optimized geometry; polymorph energy (0 for the lowest one) = 0.06 eV/f.u.; theoretical density = 9.247 Mg/m³; M_tot = 0.00 Bohr magnetons per cell; DOS at the Fermi energy = 8.725 states/eV/cell
1.0
3.730 0.000 0.000
0.000 9.142 0.000
-1.858 0.000 6.264
Sm Tm Pd
2 4 2
Cartesian
-0.002 2.285 0.718
1.873 6.856 5.546
0.007 0.540 4.545
0.007 4.031 4.545
1.865 5.111 1.719
1.865 8.601 1.719
0.001 6.856 2.998
1.870 2.285 3.266



(4)
Sm2Tm3Pd2 PBE optimized geometry; theoretical density = 9.153 Mg/m³; M_tot = 0.00 Bohr magnetons per cell; DOS at the Fermi energy = 8.022 states/eV/cell; electronic total energy = -0.3886 Ry/atom
1.0
6.241 -1.847 0.000
6.241 1.847 0.000
-4.215 0.000 8.029
Sm Tm Pd
2 3 2
Cartesian
0.611 0.000 2.512
7.657 0.000 5.518
4.563 0.000 0.470
4.134 0.000 4.015
3.705 0.000 7.559
-1.053 0.000 5.938
9.321 0.000 2.092



(5)
Sm2TmPd9 PBE optimized geometry; theoretical density = 11.073 Mg/m³; M_tot = 0.00 Bohr magnetons per cell; DOS at the Fermi energy = 8.782 states/eV/cell; electronic total energy = -0.4331 Ry/atom
1.0
4.153 0.000 0.000
0.000 4.153 0.000
0.000 0.000 12.412
Sm Tm Pd
2 1 9
Cartesian
0.000 0.000 2.110
0.000 0.000 10.303
0.000 0.000 6.206
0.000 2.076 0.000
0.000 2.076 4.202
0.000 2.076 8.211
2.076 0.000 0.000
2.076 0.000 4.202
2.076 0.000 8.211
2.076 2.076 2.088
2.076 2.076 6.206
2.076 2.076 10.325



(6)
Sm3TmPd12 PBE optimized geometry; theoretical density = 10.987 Mg/m³; M_tot = 0.00 Bohr magnetons per cell; DOS at the Fermi energy = 10.876 states/eV/cell; electronic total energy = -0.4331 Ry/atom
1.0
4.147 0.000 0.000
0.000 4.147 0.000
0.000 0.000 16.668
Sm Tm Pd
3 1 12
Cartesian
0.000 0.000 0.000
0.000 0.000 4.220
0.000 0.000 12.448
0.000 0.000 8.334
0.000 2.074 2.103
0.000 2.074 6.323
0.000 2.074 10.345
0.000 2.074 14.565
2.074 0.000 2.103
2.074 0.000 6.323
2.074 0.000 10.345
2.074 0.000 14.565
2.074 2.074 0.000
2.074 2.074 4.204
2.074 2.074 8.334
2.074 2.074 12.464



(7)
SmTm2Pd PBE optimized geometry; polymorph energy (0 for the lowest one) = 0.66 eV/f.u.; theoretical density = 8.821 Mg/m³; M_tot = 0.00 Bohr magnetons per cell; DOS at the Fermi energy = 3.883 states/eV/cell
1.0
1.825 1.054 9.704
-1.825 1.054 9.704
0.000 -2.107 9.704
Sm Tm Pd
1 2 1
Cartesian
0.000 0.000 0.000
0.000 0.000 6.741
0.000 0.000 22.370
0.000 0.000 14.556



(8)
SmTm3Pd PBE optimized geometry; polymorph energy (0 for the lowest one) = 0.53 eV/f.u.; theoretical density = 8.052 Mg/m³; M_tot = 0.00 Bohr magnetons per cell; DOS at the Fermi energy = 7.511 states/eV/cell
1.0
5.400 0.000 0.000
0.000 5.400 0.000
0.000 0.000 5.400
Sm Tm Pd
1 3 1
Cartesian
0.000 0.000 0.000
0.000 2.700 2.700
2.700 0.000 2.700
2.700 2.700 0.000
2.700 2.700 2.700



(9)
SmTm2Pd PBE optimized geometry; polymorph energy (0 for the lowest one) = 0.61 eV/f.u.; theoretical density = 8.577 Mg/m³; M_tot = 0.00 Bohr magnetons per cell; DOS at the Fermi energy = 4.366 states/eV/cell
1.0
1.905 1.100 9.157
-1.905 1.100 9.157
0.000 -2.200 9.157
Sm Tm Pd
1 2 1
Cartesian
0.000 0.000 0.000
0.000 0.000 15.398
0.000 0.000 21.118
0.000 0.000 4.509



(10)
SmTm2Pd2 PBE optimized geometry; polymorph energy (0 for the lowest one) = 0.29 eV/f.u.; theoretical density = 9.106 Mg/m³; M_tot = 0.00 Bohr magnetons per cell; DOS at the Fermi energy = 9.809 states/eV/cell
1.0
5.215 0.000 0.000
0.000 4.738 0.000
-1.140 0.000 10.348
Sm Tm Pd
2 4 4
Cartesian
0.739 1.185 2.370
3.336 3.554 7.978
0.727 3.554 5.134
0.707 1.185 9.219
3.368 3.554 1.130
3.348 1.185 5.215
0.802 3.554 0.223
0.733 1.185 6.482
3.341 3.554 3.866
3.273 1.185 10.125



(11)
SmTm2Pd3 PBE optimized geometry; theoretical density = 10.421 Mg/m³; M_tot = 0.00 Bohr magnetons per cell; DOS at the Fermi energy = 2.891 states/eV/cell; electronic total energy = -0.4234 Ry/atom
1.0
2.497 -7.533 0.000
2.497 7.533 0.000
0.000 0.000 3.420
Sm Tm Pd
1 2 3
Cartesian
0.000 0.000 0.000
2.497 2.518 0.000
2.497 -2.518 0.000
2.497 4.898 1.710
2.497 0.000 1.710
2.497 -4.898 1.710